Here is Mg2CdAu8 after structural relaxation from the Alexandria database. Energies are from PBE-GGA.

Unit cell a=14.2646 b=5.7875 c=5.0929 alpha=90.00 beta=91.34 gamma=90.00
With the nearest neighbours (Å) after each atom.
Space group C2/m (No. 12)
Symmetry-distinct sites (fractional):
Mg1 0.1613 0.0000 0.3211 x4  11 Au 2.86-2.99
Cd1 0.0000 0.5000 0.0000 x2  10 Au 2.91-2.95
Au1 0.0000 0.2420 0.5000 x4  6 Au 2.80-2.99, 2 Mg 2.86, 2 Cd 2.95
Au2 0.1656 0.2466 0.8286 x8  7 Au 2.85-2.96, 3 Mg 2.89-2.99, 1 Cd 2.93
Au3 0.1691 0.5000 0.3326 x4  8 Au 2.89-2.98, 3 Mg 2.90-2.96, 1 Cd 2.91

- Spin magnetization: 0.0 μB per formula unit
- Energy of formation from the pure elements: -6.8 kcal/mol of atoms
- Energy relative to the lowest polymorph listed for this composition: 12.4 meV per atom
- E_tot: -0.2243 Ry/atom
- Fermi-level density of states: 6.3 states/eV per cell

Here is Mg5Cd4Au2 after structural relaxation from the Alexandria database. Energies are from PBE-GGA.

Unit cell a=7.6868 b=17.7336 c=3.3313 alpha=90.00 beta=90.00 gamma=90.00
With the nearest neighbours (Å) after each atom.
Space group Pbam (No. 55)
Symmetry-distinct sites (fractional):
Mg1 0.0000 0.0000 0.0000 x2  8 Cd 3.04-3.12, 4 Mg 3.15-3.33
Mg2 0.1301 0.4234 0.0000 x4  2 Au 2.76, 4 Cd 3.08
Mg3 0.2459 0.7192 0.0000 x4  4 Au 2.79-2.80
Cd1 0.0674 0.8540 0.5000 x4  2 Au 2.95-3.13, 8 Mg 3.11-3.25, 1 Cd 3.12
Cd2 0.2056 0.5660 0.5000 x4  1 Au 2.97, 8 Mg 3.04-3.20, 1 Cd 3.12
Au1 0.0418 0.3052 0.5000 x4  6 Mg 2.76-2.80, 2 Cd 2.95-2.97

- Spin magnetization: 0.0 μB per formula unit
- Energy of formation from the pure elements: -6.9 kcal/mol of atoms
- E_tot: -0.1434 Ry/atom
- Fermi-level density of states: 6.3 states/eV per cell

Here is Mg2CdAu after structural relaxation from the Alexandria database. Energies are from PBE-GGA.

Unit cell a=3.6727 b=3.6727 c=5.9610 alpha=90.00 beta=90.00 gamma=90.00
With the nearest neighbours (Å) after each atom.
Space group P4mm (No. 99)
Symmetry-distinct sites (fractional):
Mg1 0.0000 0.0000 0.0000 x1  2 Au 2.87-3.09, 4 Cd 2.95, 4 Mg 3.11
Mg2 0.5000 0.5000 0.2870 x1  4 Au 2.84, 2 Cd 2.86-3.10, 4 Mg 3.11
Cd1 0.5000 0.5000 0.7665 x1  6 Mg 2.86-3.10, 4 Au 3.10
Au1 0.0000 0.0000 0.4819 x1  6 Mg 2.84-3.09, 4 Cd 3.10

- Spin magnetization: 0.0 μB per formula unit
- Energy of formation from the pure elements: -6.5 kcal/mol of atoms
- Energy relative to the lowest polymorph listed for this composition: 84.5 meV per atom
- E_tot: -0.1564 Ry/atom
- Fermi-level density of states: 1.7 states/eV per cell

Here is MgCd4Au3 after structural relaxation from the Alexandria database. Energies are from PBE-GGA.

Unit cell a=24.0643 b=3.1223 c=4.7763 alpha=90.00 beta=93.35 gamma=90.00
With the nearest neighbours (Å) after each atom.
Space group C2/m (No. 12)
Symmetry-distinct sites (fractional):
Mg1 0.0000 0.0000 0.0000 x2  4 Au 2.85, 2 Mg 3.12
Cd1 0.0986 0.0000 0.5256 x4  4 Au 2.84-2.87, 2 Cd 3.12
Cd2 0.1901 0.0000 0.0579 x4  5 Au 2.85-3.14, 2 Cd 3.12
Au1 0.0000 0.5000 0.5000 x2  4 Cd 2.84, 4 Mg 2.85, 2 Au 3.12
Au2 0.1989 0.5000 0.5623 x4  7 Cd 2.85-3.14, 4 Au 3.00-3.12

- Spin magnetization: 0.0 μB per formula unit
- Energy of formation from the pure elements: -3.9 kcal/mol of atoms
- E_tot: -0.1509 Ry/atom
- Fermi-level density of states: 4.7 states/eV per cell

Here is MgCd2Au after structural relaxation from the Alexandria database. Energies are from PBE-GGA.

Unit cell a=4.7093 b=4.7093 c=14.0765 alpha=90.00 beta=90.00 gamma=120.00
With the nearest neighbours (Å) after each atom.
Space group R3m (No. 160, hexagonal axes)
Symmetry-distinct sites (fractional):
Mg1 0.0000 0.0000 0.0000 x3  1 Au 2.75, 4 Cd 3.02-3.07
Cd1 0.0000 0.0000 0.2182 x3  4 Cd 2.94-3.23, 3 Au 2.94, 4 Mg 3.07-3.17
Cd2 0.0000 0.0000 0.4272 x3  3 Au 2.79, 1 Cd 2.94, 3 Mg 3.02
Au1 0.0000 0.0000 0.8050 x3  1 Mg 2.75, 6 Cd 2.79-2.94

- Spin magnetization: 0.0 μB per formula unit
- Energy of formation from the pure elements: -4.1 kcal/mol of atoms
- E_tot: -0.1361 Ry/atom
- Fermi-level density of states: 4.6 states/eV per cell

Here is Mg6Cd5Au after structural relaxation from the Alexandria database. Energies are from PBE-GGA.

Unit cell a=4.7123 b=14.2183 c=7.4627 alpha=90.00 beta=90.00 gamma=90.00
With the nearest neighbours (Å) after each atom.
Space group Cmmm (No. 65)
Symmetry-distinct sites (fractional):
Mg1 0.0000 0.0000 0.2281 x4  2 Au 2.91, 6 Cd 2.99-3.13
Mg2 0.0000 0.3412 0.2433 x8  1 Au 2.90, 7 Cd 2.96-3.12
Cd1 0.0000 0.1678 0.5000 x4  8 Mg 3.04-3.13, 4 Cd 3.32-3.35
Cd2 0.0000 0.1732 0.0000 x4  8 Mg 2.98-3.00, 2 Cd 3.21
Cd3 0.0000 0.5000 0.5000 x2  8 Mg 2.96-3.11
Au1 0.0000 0.5000 0.0000 x2  8 Mg 2.90-2.91

- Spin magnetization: 0.0 μB per formula unit
- Energy of formation from the pure elements: -4.3 kcal/mol of atoms
- E_tot: -0.1203 Ry/atom
- Fermi-level density of states: 7.2 states/eV per cell

Here is Mg3CdAu3 after structural relaxation from the Alexandria database. Energies are from PBE-GGA.

Unit cell a=8.1927 b=8.1927 c=8.1927 alpha=90.00 beta=90.00 gamma=90.00
With the nearest neighbours (Å) after each atom.
Space group P2_13 (No. 198)
Symmetry-distinct sites (fractional):
Mg1 0.1196 0.3804 0.6196 x4  6 Au 2.84-2.85, 3 Cd 3.05
Mg2 0.1540 0.8460 0.3460 x4  6 Au 2.76-2.80, 1 Cd 3.03
Mg3 0.2061 0.2061 0.2061 x4  6 Au 2.79-2.97
Cd1 0.0595 0.5595 0.9405 x4  6 Au 2.99-3.06, 5 Mg 3.03-3.33
Au1 0.0162 0.1992 0.8973 x12  6 Mg 2.76-2.97, 2 Cd 2.99-3.06, 2 Au 3.05

- Spin magnetization: 0.0 μB per formula unit
- Energy of formation from the pure elements: -9.9 kcal/mol of atoms
- E_tot: -0.1947 Ry/atom
- Fermi-level density of states: 13.2 states/eV per cell

Here is Mg2CdAu8 after structural relaxation from the Alexandria database. Energies are from PBE-GGA.

Unit cell a=14.9280 b=4.2080 c=6.6542 alpha=90.00 beta=106.71 gamma=90.00
With the nearest neighbours (Å) after each atom.
Space group C2/m (No. 12)
Symmetry-distinct sites (fractional):
Mg1 0.2221 0.0000 0.1535 x4  10 Au 2.84-2.94
Cd1 0.0000 0.5000 0.5000 x2  12 Au 2.92-3.03
Au1 0.0429 0.0000 0.2234 x4  1 Mg 2.84, 9 Au 2.88-3.09, 2 Cd 2.98
Au2 0.1003 0.5000 0.9554 x4  3 Mg 2.85-2.94, 7 Au 2.91-3.04, 1 Cd 2.97
Au3 0.1449 0.0000 0.6983 x4  3 Mg 2.87-2.91, 7 Au 2.90-3.09, 2 Cd 3.03
Au4 0.1802 0.5000 0.4097 x4  3 Mg 2.85-2.89, 8 Au 2.90-3.00, 1 Cd 2.92

- Spin magnetization: 0.0 μB per formula unit
- Energy of formation from the pure elements: -7.1 kcal/mol of atoms
- Energy relative to the lowest polymorph listed for this composition: 0.0 meV per atom
- E_tot: -0.2253 Ry/atom
- Fermi-level density of states: 5.8 states/eV per cell

Here is Mg7Cd2Au2 after structural relaxation from the Alexandria database. Energies are from PBE-GGA.

Unit cell a=4.5238 b=13.2010 c=7.5844 alpha=90.00 beta=90.00 gamma=90.00
With the nearest neighbours (Å) after each atom.
Space group Imm2 (No. 44)
Symmetry-distinct sites (fractional):
Mg1 0.0000 0.0000 0.0000 x2  2 Au 2.86, 1 Cd 2.92, 6 Mg 3.18
Mg2 0.0000 0.1525 0.3238 x4  7 Mg 2.96-3.22, 3 Cd 2.98-3.03, 2 Au 3.01
Mg3 0.0000 0.3333 0.5538 x4  3 Au 2.78-2.86, 1 Cd 2.96, 3 Mg 2.96-3.06
Mg4 0.0000 0.3494 0.1267 x4  3 Au 2.89-2.91, 3 Mg 3.00-3.22, 3 Cd 3.01-3.10
Cd1 0.0000 0.0000 0.6144 x2  7 Mg 2.92-3.01, 2 Au 3.16, 2 Cd 3.21
Cd2 0.0000 0.5000 0.8139 x2  10 Mg 2.96-3.28, 2 Cd 3.21
Au1 0.0000 0.1981 0.8483 x4  9 Mg 2.78-3.01

- Spin magnetization: 0.0 μB per formula unit
- Energy of formation from the pure elements: -7.0 kcal/mol of atoms
- Energy relative to the lowest polymorph listed for this composition: 0.0 meV per atom
- E_tot: -0.1529 Ry/atom
- Fermi-level density of states: 7.0 states/eV per cell

Here is MgCd2Au after structural relaxation from the Alexandria database. Energies are from PBE-GGA.

Unit cell a=5.8854 b=8.2081 c=3.4142 alpha=90.00 beta=90.00 gamma=90.00
With the nearest neighbours (Å) after each atom.
Space group Cmmm (No. 65)
Symmetry-distinct sites (fractional):
Mg1 0.0000 0.0000 0.0000 x2  2 Au 2.94, 8 Cd 3.05
Cd1 0.2500 0.2500 0.5000 x4  2 Cd 2.94, 4 Mg 3.05, 4 Au 3.05
Au1 0.0000 0.5000 0.0000 x2  2 Mg 2.94, 8 Cd 3.05

- Spin magnetization: 0.0 μB per formula unit
- Energy of formation from the pure elements: -3.6 kcal/mol of atoms
- E_tot: -0.1346 Ry/atom
- Fermi-level density of states: 3.2 states/eV per cell